DFT (PBE-GGA) results for an optimized crystal structure of LaNb3Tc.

a = 4.8135 Å, b = 4.8135 Å, c = 4.8135 Å
α = 90.00°, β = 90.00°, γ = 90.00°
With the nearest neighbours (Å) after each atom.
Fractional coordinates of all 5 atoms:
La 0.0000 0.0000 0.0000  6 Nb 2.41
Nb 0.0000 0.0000 0.5000  2 La 2.41
Nb 0.0000 0.5000 0.0000  2 La 2.41
Nb 0.5000 0.0000 0.0000  2 La 2.41
Tc 0.5000 0.5000 0.5000  12 Nb 3.40

Output
Space group: Pm-3m, No. 221
Excess energy over the best structure of this formula in the dataset: 1509 meV/atom
Energy of formation from the pure elements: 2162 meV/atom